AgSb | PBE | optimized geometry

Geometry as extended XYZ:
```
4
Lattice="-4.599 -5.684 0.612 -0.847 -5.654 -3.721 3.809 4.217 3.774" Properties=species:S:1:pos:R:3 pbc="T T T"
Sb -0.018 -3.795 0.383
Sb 1.092 -1.455 1.817
Ag 2.450 1.341 1.719
Ag -1.376 -6.590 0.480
```

space group = C2/m (12)
magnetization = 0.00 μB per formula unit
raw formation energy = 0.09 eV/atom
energy above the lowest structure with this stoichiometry = 6 meV per atom



CdNiPb2 | PBE | optimized geometry

Geometry as extended XYZ:
```
4
Lattice="3.351 0.000 0.000 0.000 4.294 -0.011 0.000 2.141 6.646" Properties=species:S:1:pos:R:3 pbc="T T T"
Cd 0.000 4.023 3.418
Ni 1.675 4.017 5.577
Pb 1.675 1.879 1.681
Pb 0.000 6.167 5.911
```

space group = Pm (6)
DFT formation energy = 0.12 eV per atom
magnetization = 0.00 μB per formula unit
energy above the lowest structure with this stoichiometry = 16 meV per atom



HfAg3Cl | PBE | optimized geometry

Geometry as extended XYZ:
```
5
Lattice="4.903 0.000 0.000 0.000 4.903 0.000 0.000 0.000 4.903" Properties=species:S:1:pos:R:3 pbc="T T T"
Ag 2.451 0.000 0.000
Ag 0.000 0.000 2.451
Ag 0.000 2.451 0.000
Hf 2.451 2.451 2.451
Cl 0.000 0.000 0.000
```

space group = Pm-3m (221)
magnetization = 0.00 μB per formula unit
raw formation energy = 1.00 eV/atom
energy above the lowest structure with this stoichiometry = 0 meV per atom



no.,calculated total energy (eV/atom)
1,-3.401
2,-3.405
3,-3.069